{
  "formula": "SrNdCo2O6",
  "functional": "GGA+U",
  "state": "optimized geometry",
  "cell": [[-2.7143, 3.7990, 2.7645], [2.7143, -3.7990, 2.7645], [2.7143, 3.7990, -2.7645]],
  "species": ["Sr", "Nd", "Co", "Co", "O", "O", "O", "O", "O", "O"],
  "frac_coords": [[0.0000, 0.0000, 0.0000], [0.4891, 0.9891, 0.5000], [0.2485, 0.4983, 0.7502], [0.7481, 0.4983, 0.2498], [0.0424, 0.9998, 0.5269], [0.0424, 0.5155, 0.0426], [0.4729, 0.9998, 0.9574], [0.4729, 0.5155, 0.4731], [0.5511, 0.5511, 0.0000], [0.9262, 0.4262, 0.5000]],
  "e_tot_ev_per_cell": -65.30
}